This record from Alexandria via LeMat-Bulk describes LiV6O11F after structural relaxation. The functional is GGA+U.

abc: 5.074 5.074 8.651
angles: 89.79 89.79 78.34
Positions (direct):
Li  0.699  0.699  0.334
V  0.993  0.993  0.004
V  0.025  0.025  0.334
V  0.984  0.984  0.657
V  0.426  0.426  0.157
V  0.582  0.582  0.833
V  0.422  0.422  0.510
O  0.853  0.853  0.177
O  0.842  0.842  0.506
O  0.810  0.810  0.829
O  0.694  0.320  0.996
O  0.683  0.316  0.336
O  0.691  0.314  0.668
O  0.320  0.694  0.996
O  0.316  0.683  0.336
O  0.314  0.691  0.668
O  0.203  0.203  0.159
O  0.194  0.194  0.511
F  0.159  0.159  0.824

## Properties
space-group type: Cm, No. 8
calculated volume: 11.5 Å³ per atom
offset from the most stable computed form: 1 meV per atom
DFT total energy: -141.879 eV/cell
crystal system: monoclinic